Density functional theory data (PBE-GGA) for a geometry-optimized ZnAgBr structure.

- N(E_F) (states/eV per atom) = 0.144
- uncorrected formation energy (meV per atom) = 80

Geometry as POSCAR:
```
ZnAgBr
1.0
4.784 0.000 0.000
2.392 4.143 0.000
2.392 1.381 3.907
Zn Br Ag
1 1 1
Direct
0.500 0.500 0.500
0.000 0.000 0.000
0.750 0.750 0.750
```



Density functional theory data (PBE-GGA) for a geometry-optimized Zn2AgBr structure.

- N(E_F) (states/eV per atom) = 0.304
- uncorrected formation energy (meV per atom) = 275

Geometry as POSCAR:
```
Zn2AgBr
1.0
-4.049 -2.813 -0.619
-0.253 -3.188 -3.803
0.222 -4.892 0.840
Zn Ag Br
2 1 1
Direct
0.000 0.000 0.000
0.750 0.750 0.750
0.500 0.500 0.500
0.250 0.250 0.250
```



Density functional theory data (PBE-GGA) for a geometry-optimized Zn2AgBr structure.

- N(E_F) (states/eV per atom) = 0.207
- uncorrected formation energy (meV per atom) = 79

Geometry as POSCAR:
```
Zn2AgBr
1.0
5.638 -0.006 0.007
0.893 5.567 -0.007
-1.884 -4.403 2.975
Zn Br Ag
2 1 1
Direct
0.992 0.992 0.000
0.508 0.508 0.000
0.250 0.750 0.500
0.750 0.250 0.500
```